Density functional theory data (PBE-GGA) for Ca2Ta2Ni15 after structural relaxation.

The space group is R-3m (No. 166, hexagonal axes) and the conventional cell measures 8.4187, 8.4187 and 12.4891 Å, with angles of 90.00, 90.00 and 120.00 degrees. The distinct sites, in fractional coordinates, are Ca at (0.0000, 0.0000, 0.1470), Ta at (0.0000, 0.0000, 0.3958), Ni at (0.0000, 0.2940, 0.5000), Ni at (0.0000, 0.5000, 0.0000) and Ni at (0.0038, 0.5019, 0.3450).

As for the crystal system: trigonal. As for the total magnetization: 0.042 μB per formula unit. The density of states at the Fermi level comes out at 25.7 states/eV/f.u. As for the formation energy: -0.1397 eV/atom.